Here is an optimized crystal structure of Ta2BC from Alexandria. Energies are from PBE.

POSCAR file:
```
Ta2BC
1.0
0.0000 2.8484 2.8484
2.8484 0.0000 2.8484
2.8484 2.8484 0.0000
Ta B C
2 1 1
Cartesian
1.4242 1.4242 1.4242 Ta
4.2725 4.2725 4.2725 Ta
0.0000 0.0000 0.0000 B
2.8484 2.8484 2.8484 C
```

- E (eV/f.u.) = -37.79
- magnetization (μB per formula unit) = 0.00
- energy of formation (eV/atom) = 0.4545
- E above lowest polymorph (kJ/mol of atoms) = 108.02